The following is a DFT calculation (PBE) of Dy5Hg3 after structural relaxation.

Geometry as POSCAR:
```
Dy5Hg3
1.0
-2.332 1.681 -2.280
-1.933 -3.103 -0.311
-9.212 4.463 12.713
Dy Hg
5 3
Cartesian
-2.137 1.035 2.950
-7.825 2.047 6.561
-5.652 0.994 3.561
-7.075 3.427 9.763
0.000 0.000 0.000
-3.207 -0.190 0.187
-10.270 3.231 9.934
-4.606 2.231 6.356
```

Formation energy, eV/f.u.: -2.715
Energy, eV per cell: -26.63